Material: Tm4TePSe2
Method: DFT, PBE
State: relaxed

CIF file:
```
data_Tm4TePSe2
_chemical_formula_sum 'Tm4 Te1 P1 Se2'
_cell_length_a 4.047
_cell_length_b 6.996
_cell_length_c 7.202
_cell_angle_alpha 70.86
_cell_angle_beta 90.00
_cell_angle_gamma 90.00
_space_group_name_H-M_alt 'P 1'
_space_group_IT_number 1
_space_group_name_Hall 'P 1'
loop_
_atom_site_label
_atom_site_type_symbol
_atom_site_fract_x
_atom_site_fract_y
_atom_site_fract_z
Tm1 Tm 0.000 0.755 0.716
Tm2 Tm 0.000 0.245 0.284
Tm3 Tm 0.500 0.736 0.280
Tm4 Tm 0.500 0.264 0.720
Te1 Te 0.500 0.500 0.000
P1 P 0.000 0.500 0.500
Se1 Se 0.000 0.000 0.000
Se2 Se 0.500 0.000 0.500
```

* final energy: -5.74 eV/atom
* raw formation energy: -1.5673 eV/atom
* M_tot: 0.000 μB/f.u.

---

Material: LiTe2Pt
Method: DFT, PBE
State: relaxed

CIF file:
```
data_LiTe2Pt
_chemical_formula_sum 'Li1 Te2 Pt1'
_cell_length_a 3.974
_cell_length_b 5.147
_cell_length_c 5.172
_cell_angle_alpha 75.27
_cell_angle_beta 90.00
_cell_angle_gamma 90.00
_space_group_name_H-M_alt 'P 1'
_space_group_IT_number 1
_space_group_name_Hall 'P 1'
loop_
_atom_site_label
_atom_site_type_symbol
_atom_site_fract_x
_atom_site_fract_y
_atom_site_fract_z
Li1 Li 0.500 0.250 0.250
Pt1 Pt 0.500 0.750 0.750
Te1 Te 0.000 0.964 0.964
Te2 Te 0.000 0.536 0.536
```

* final energy: -3.95 eV/atom
* raw formation energy: -0.3907 eV/atom
* M_tot: 0.000 μB/f.u.

---

Material: Al2Si2Os
Method: DFT, PBE
State: relaxed

CIF file:
```
data_Al2Si2Os
_chemical_formula_sum 'Al4 Si4 Os2'
_cell_length_a 6.153
_cell_length_b 6.153
_cell_length_c 3.966
_cell_angle_alpha 90.00
_cell_angle_beta 90.00
_cell_angle_gamma 90.00
_space_group_name_H-M_alt 'P 1'
_space_group_IT_number 1
_space_group_name_Hall 'P 1'
loop_
_atom_site_label
_atom_site_type_symbol
_atom_site_fract_x
_atom_site_fract_y
_atom_site_fract_z
Si1 Si 0.366 0.866 0.000
Si2 Si 0.866 0.634 0.000
Si3 Si 0.634 0.134 0.000
Si4 Si 0.134 0.366 0.000
Os1 Os 0.000 0.000 0.000
Os2 Os 0.500 0.500 0.000
Al1 Al 0.175 0.675 0.500
Al2 Al 0.675 0.825 0.500
Al3 Al 0.825 0.325 0.500
Al4 Al 0.325 0.175 0.500
```

* final energy: -5.97 eV/atom
* raw formation energy: -0.0539 eV/atom
* M_tot: 0.000 μB/f.u.

---

Material: PuPa2P3
Method: DFT, PBE
State: relaxed

CIF file:
```
data_PuPa2P3
_chemical_formula_sum 'Pu4 Pa8 P12'
_cell_length_a 5.625
_cell_length_b 7.957
_cell_length_c 11.925
_cell_angle_alpha 90.00
_cell_angle_beta 90.00
_cell_angle_gamma 90.00
_space_group_name_H-M_alt 'P 1'
_space_group_IT_number 1
_space_group_name_Hall 'P 1'
loop_
_atom_site_label
_atom_site_type_symbol
_atom_site_fract_x
_atom_site_fract_y
_atom_site_fract_z
Pu1 Pu 0.250 0.874 0.082
Pu2 Pu 0.250 0.374 0.418
Pu3 Pu 0.750 0.626 0.582
Pu4 Pu 0.750 0.126 0.918
Pa1 Pa 0.251 0.874 0.751
Pa2 Pa 0.251 0.374 0.749
Pa3 Pa 0.250 0.875 0.417
Pa4 Pa 0.250 0.375 0.083
Pa5 Pa 0.750 0.625 0.917
Pa6 Pa 0.750 0.125 0.583
Pa7 Pa 0.749 0.626 0.251
Pa8 Pa 0.749 0.126 0.249
P1 P 0.250 0.625 0.584
P2 P 0.250 0.125 0.916
P3 P 0.250 0.624 0.916
P4 P 0.250 0.124 0.584
P5 P 0.249 0.624 0.251
P6 P 0.249 0.124 0.249
P7 P 0.751 0.876 0.751
P8 P 0.751 0.376 0.749
P9 P 0.750 0.876 0.416
P10 P 0.750 0.376 0.084
P11 P 0.750 0.875 0.084
P12 P 0.750 0.375 0.416
```

* final energy: -9.54 eV/atom
* DFT formation energy: -1.2773 eV/atom
* M_tot: 4.980 μB/f.u.